Record 1
! NdHo5Tm3, relaxed, DFT PBE-GGA; values from VASP
! SG   C2/m
! Calculated formation energy   432 meV per atom
! Distance to the lowest polymorph of the same formula   118 meV/atom
! Energy   -4.131 eV/atom
! Mass density   8.015 Mg/m³
! M_tot   0.00 μB/atom
&SYSTEM
  ibrav = 0, nat = 18, ntyp = 3
/
ATOMIC_SPECIES
Nd 144.24 Nd.upf
Ho 164.93 Ho.upf
Tm 168.93 Tm.upf
ATOMIC_POSITIONS crystal
Nd 0.236 0.236 0.132
Nd 0.764 0.764 0.868
Ho 0.123 0.123 0.566
Ho 0.143 0.729 0.220
Ho 0.271 0.857 0.780
Ho 0.299 0.299 0.928
Ho 0.322 0.678 0.000
Ho 0.678 0.322 0.000
Ho 0.701 0.701 0.072
Ho 0.729 0.143 0.220
Ho 0.857 0.271 0.780
Ho 0.877 0.877 0.434
Tm 0.000 0.000 0.000
Tm 0.168 0.168 0.338
Tm 0.378 0.378 0.682
Tm 0.500 0.500 0.500
Tm 0.622 0.622 0.318
Tm 0.832 0.832 0.662
CELL_PARAMETERS angstrom
8.393 -3.962 0.000
8.393 3.962 0.000
-7.876 0.000 9.193


Record 2
! Nd4HoTm7, relaxed, DFT PBE-GGA; values from VASP
! SG   C2/m
! Calculated formation energy   275 meV per atom
! Distance to the lowest polymorph of the same formula   185 meV/atom
! Energy   -4.304 eV/atom
! Mass density   8.031 Mg/m³
! M_tot   0.00 μB/atom
&SYSTEM
  ibrav = 0, nat = 12, ntyp = 3
/
ATOMIC_SPECIES
Nd 144.24 Nd.upf
Ho 164.93 Ho.upf
Tm 168.93 Tm.upf
ATOMIC_POSITIONS crystal
Nd 0.140 0.140 0.277
Nd 0.283 0.283 0.838
Nd 0.717 0.717 0.162
Nd 0.860 0.860 0.723
Ho 0.500 0.500 0.500
Tm 0.000 0.000 0.500
Tm 0.132 0.132 0.993
Tm 0.288 0.288 0.576
Tm 0.429 0.429 0.192
Tm 0.571 0.571 0.808
Tm 0.712 0.712 0.424
Tm 0.868 0.868 0.007
CELL_PARAMETERS angstrom
6.035 -2.930 0.000
6.035 2.930 0.000
-6.014 0.000 11.252


Record 3
! Nd2Ho5Tm5, relaxed, DFT PBE-GGA; values from VASP
! SG   C2/m
! Calculated formation energy   23 meV per atom
! Energy   -4.542 eV/atom
! Mass density   8.681 Mg/m³
! M_tot   0.00 μB/atom
&SYSTEM
  ibrav = 0, nat = 12, ntyp = 3
/
ATOMIC_SPECIES
Nd 144.24 Nd.upf
Ho 164.93 Ho.upf
Tm 168.93 Tm.upf
ATOMIC_POSITIONS crystal
Nd 0.083 0.083 0.249
Nd 0.917 0.917 0.751
Ho 0.000 0.000 0.500
Ho 0.167 0.167 0.000
Ho 0.248 0.248 0.749
Ho 0.752 0.752 0.251
Ho 0.833 0.833 0.000
Tm 0.333 0.333 0.499
Tm 0.416 0.416 0.250
Tm 0.500 0.500 0.000
Tm 0.584 0.584 0.750
Tm 0.667 0.667 0.501
CELL_PARAMETERS angstrom
7.494 -2.501 0.000
7.494 2.501 0.000
-4.988 0.000 9.992


Record 4
! Nd2Ho3Tm5, relaxed, DFT PBE-GGA; values from VASP
! SG   Ibam
! Calculated formation energy   424 meV per atom
! Distance to the lowest polymorph of the same formula   227 meV/atom
! Energy   -4.138 eV/atom
! Mass density   7.965 Mg/m³
! M_tot   0.00 μB/atom
&SYSTEM
  ibrav = 0, nat = 20, ntyp = 3
/
ATOMIC_SPECIES
Nd 144.24 Nd.upf
Ho 164.93 Ho.upf
Tm 168.93 Tm.upf
ATOMIC_POSITIONS crystal
Nd 0.126 0.104 0.229
Nd 0.374 0.604 0.978
Nd 0.626 0.396 0.022
Nd 0.874 0.896 0.771
Ho 0.127 0.749 0.875
Ho 0.250 0.250 0.000
Ho 0.373 0.249 0.622
Ho 0.627 0.751 0.378
Ho 0.750 0.750 0.000
Ho 0.873 0.251 0.125
Tm 0.002 0.750 0.252
Tm 0.124 0.414 0.539
Tm 0.250 0.750 0.500
Tm 0.376 0.914 0.290
Tm 0.498 0.750 0.748
Tm 0.502 0.250 0.252
Tm 0.624 0.086 0.710
Tm 0.750 0.250 0.500
Tm 0.876 0.586 0.461
Tm 0.998 0.250 0.748
CELL_PARAMETERS angstrom
-4.672 10.809 3.360
4.672 -10.809 3.360
4.672 10.809 -3.360